1.
BC2, relaxed, DFT PBE-GGA; energy relative to the elements = 1.106 eV/f.u.; crystal system = monoclinic; size of the total moment = 0.000 μB/atom; SG = Pm, No. 6; polymorph energy (0 for the lowest one) = 129 meV per atom; V = 76.2 Å³/cell
1.0
4.5114 0.0000 0.0000
0.0000 2.5524 0.0000
-0.2814 0.0000 6.6162
B C
4 8
Cartesian
0.0000 0.0000 0.0000
0.1585 0.0000 4.9220
1.7602 0.0000 0.6310
2.4562 1.2762 6.4177
0.9724 1.2762 2.7751
1.0097 1.2762 4.3041
1.7050 0.0000 2.2283
2.4419 1.2762 4.8090
3.2233 0.0000 2.7487
3.1587 0.0000 4.2925
3.9733 1.2762 2.2473
4.1064 1.2762 0.7395



2.
NaHgSbPd, relaxed, DFT PBE-GGA; energy relative to the elements, uncorrected = -17.97 kJ per mole of atoms; crystal system = cubic; size of the total moment = 0.000 μB/atom; SG = F-43m, No. 216; V = 82.7 Å³/cell
1.0
0.0000 3.4582 3.4582
3.4582 0.0000 3.4582
3.4582 3.4582 0.0000
Na Hg Sb Pd
1 1 1 1
Cartesian
0.0000 0.0000 0.0000
5.1873 5.1873 5.1873
1.7291 1.7291 1.7291
3.4582 3.4582 3.4582



3.
ErLuCuTc, relaxed, DFT PBE-GGA; energy relative to the elements = -0.650 eV/f.u.; crystal system = cubic; size of the total moment = 0.000 μB/atom; SG = F-43m, No. 216; V = 77.9 Å³/cell
1.0
0.0000 3.3902 3.3902
3.3902 0.0000 3.3902
3.3902 3.3902 0.0000
Er Lu Cu Tc
1 1 1 1
Cartesian
0.0000 0.0000 0.0000
3.3902 3.3902 3.3902
5.0853 5.0853 5.0853
1.6951 1.6951 1.6951